[1]
AsPtPb PBE-GGA optimized geometry; energy of formation from the pure elements = -0.3068 eV/atom; volume = 22.6 Å³/atom; size of the total moment = 0.000 μB/cell; calculated total energy = -5.11 eV per atom; energy above the lowest structure with this stoichiometry = 0.0 meV/atom; crystal system = monoclinic
1.0
-6.330 -1.588 -1.252
1.413 -6.493 1.090
-1.937 3.450 5.419
Pt Pb As
4 4 4
Direct
0.480 0.793 0.298
0.980 0.707 0.702
0.520 0.207 0.702
0.020 0.293 0.298
0.863 0.860 0.154
0.363 0.640 0.846
0.637 0.360 0.154
0.137 0.140 0.846
0.635 0.834 0.656
0.135 0.666 0.344
0.865 0.334 0.656
0.365 0.166 0.344


[2]
CrRu2Au PBE-GGA optimized geometry; energy of formation from the pure elements = 0.3340 eV/atom; volume = 14.8 Å³/atom; size of the total moment = 0.987 μB/cell; calculated total energy = -7.53 eV per atom; energy above the lowest structure with this stoichiometry = 136.0 meV/atom; crystal system = orthorhombic
1.0
-5.166 -0.806 1.173
-1.386 -2.283 4.645
2.328 4.029 -2.657
Au Ru Cr
1 2 1
Direct
0.750 0.250 0.500
0.033 0.033 0.000
0.467 0.467 0.000
0.250 0.750 0.500


[3]
LiNdSb PBE-GGA optimized geometry; volume = 25.0 Å³/atom; size of the total moment = 0.722 μB/cell; calculated total energy = -4.45 eV per atom; energy above the lowest structure with this stoichiometry = 37.8 meV/atom; crystal system = hexagonal
1.0
4.241 0.000 0.000
0.000 4.519 0.000
0.000 -2.260 3.914
Nd Li Sb
1 1 1
Direct
0.667 0.333 0.667
0.167 0.667 0.333
0.166 0.000 0.000


[4]
SrCd2 PBE-GGA optimized geometry; energy of formation from the pure elements = -0.2905 eV/atom; volume = 32.0 Å³/atom; size of the total moment = 0.000 μB/cell; calculated total energy = -1.46 eV per atom; crystal system = tetragonal
1.0
9.598 0.032 0.000
7.364 6.155 0.000
-8.481 -3.093 3.259
Cd Sr
4 2
Direct
0.670 0.170 0.500
0.420 0.420 0.000
0.580 0.580 0.000
0.830 0.330 0.500
0.000 0.000 0.000
0.250 0.750 0.500


[5]
Tm3CdS PBE-GGA optimized geometry; volume = 24.9 Å³/atom; size of the total moment = 0.000 μB/cell; calculated total energy = -4.58 eV per atom; energy above the lowest structure with this stoichiometry = 0.0 meV/atom; crystal system = orthorhombic
1.0
3.803 0.000 0.000
0.000 8.987 0.000
0.000 0.000 14.583
Tm Cd S
12 4 4
Direct
0.250 0.031 0.112
0.750 0.835 0.485
0.750 0.716 0.220
0.750 0.969 0.888
0.250 0.784 0.720
0.750 0.469 0.612
0.250 0.665 0.985
0.750 0.335 0.015
0.750 0.216 0.280
0.250 0.284 0.780
0.250 0.165 0.515
0.250 0.531 0.388
0.750 0.557 0.827
0.250 0.443 0.173
0.250 0.943 0.327
0.750 0.057 0.673
0.250 0.160 0.946
0.750 0.340 0.446
0.250 0.660 0.554
0.750 0.840 0.054


[6]
BaSr2YAu PBE-GGA optimized geometry; energy of formation from the pure elements = -0.2356 eV/atom; volume = 44.4 Å³/atom; size of the total moment = 0.000 μB/cell; calculated total energy = -3.24 eV per atom; crystal system = tetragonal
1.0
6.251 0.000 0.000
0.000 6.251 0.000
0.000 0.000 5.687
Au Ba Sr Y
1 1 2 1
Direct
0.000 0.000 0.000
0.500 0.500 0.500
0.000 0.500 0.000
0.500 0.000 0.000
0.000 0.000 0.500


[7]
Na2SrAlSb2 PBE-GGA optimized geometry; volume = 29.5 Å³/atom; size of the total moment = 0.000 μB/cell; calculated total energy = -3.21 eV per atom; crystal system = orthorhombic
1.0
-4.914 0.012 -0.238
-0.318 -4.805 6.318
-0.248 7.217 5.476
Al Na Sb Sr
2 4 4 2
Direct
0.500 0.153 0.685
0.500 0.653 0.315
0.000 0.843 0.848
0.500 0.522 0.924
0.000 0.343 0.152
0.500 0.022 0.076
0.000 0.235 0.821
0.500 0.285 0.368
0.500 0.785 0.632
0.000 0.735 0.179
0.000 0.007 0.457
0.000 0.507 0.543


[8]
PIr5 PBE-GGA optimized geometry; energy of formation from the pure elements = 0.8134 eV/atom; volume = 16.8 Å³/atom; size of the total moment = 0.000 μB/cell; calculated total energy = -7.47 eV per atom; energy above the lowest structure with this stoichiometry = 745.6 meV/atom; crystal system = hexagonal
1.0
-0.020 5.107 -0.209
-3.352 -2.449 2.982
2.905 0.150 3.389
Ir P
5 1
Direct
0.000 0.500 0.500
0.667 0.333 0.000
0.500 0.500 0.500
0.500 0.000 0.500
0.333 0.667 0.000
0.000 0.000 0.000


[9]
CeNi2Ge PBE-GGA optimized geometry; energy of formation from the pure elements = -0.3512 eV/atom; volume = 18.3 Å³/atom; size of the total moment = 0.000 μB/cell; calculated total energy = -5.88 eV per atom; crystal system = orthorhombic
1.0
-1.799 -3.446 -0.926
2.376 -1.801 2.084
-3.072 0.538 3.967
Ce Ni Ge
1 2 1
Direct
0.500 0.500 0.000
0.000 0.000 0.245
0.000 0.000 0.755
0.500 0.000 0.500


[10]
KAlHg2 PBE-GGA optimized geometry; energy of formation from the pure elements = 0.1311 eV/atom; volume = 27.9 Å³/atom; size of the total moment = 0.000 μB/cell; calculated total energy = -1.23 eV per atom; energy above the lowest structure with this stoichiometry = 188.3 meV/atom; crystal system = tetragonal
1.0
-3.498 4.557 2.009
-2.033 -0.739 5.689
5.448 -0.361 -2.690
Hg K Al
2 1 1
Direct
0.250 0.750 0.500
0.000 0.000 0.000
0.500 0.500 0.000
0.750 0.250 0.500


[11]
BaMn PBE-GGA optimized geometry; energy of formation from the pure elements = 0.7618 eV/atom; volume = 31.7 Å³/atom; size of the total moment = 8.876 μB/cell; calculated total energy = -4.78 eV per atom; crystal system = cubic
1.0
-5.293 1.792 -0.755
-1.647 -5.298 -1.005
2.742 1.242 4.768
Mn Ba
2 2
Direct
0.750 0.250 0.500
0.500 0.500 0.000
0.250 0.750 0.500
0.000 0.000 0.000


[12]
Tb3Tl2In2 PBE-GGA optimized geometry; energy of formation from the pure elements = -0.3669 eV/atom; volume = 27.0 Å³/atom; size of the total moment = 0.000 μB/cell; calculated total energy = -3.81 eV per atom; energy above the lowest structure with this stoichiometry = 0.0 meV/atom; crystal system = orthorhombic
1.0
-0.662 0.281 -4.559
-2.153 -2.818 0.139
-9.355 7.120 -0.540
In Tl Tb
2 2 3
Direct
0.713 0.500 0.573
0.287 0.500 0.427
0.427 0.500 0.146
0.573 0.500 0.854
0.155 0.000 0.690
0.845 0.000 0.310
0.000 0.000 0.000


[13]
ZnTe3 PBE-GGA optimized geometry; volume = 28.3 Å³/atom; size of the total moment = 0.000 μB/cell; calculated total energy = -2.50 eV per atom; crystal system = orthorhombic
1.0
-2.422 0.842 1.897
-0.581 -3.019 -0.849
5.918 -3.728 9.207
Te Zn
3 1
Direct
0.500 0.500 0.750
0.000 0.000 0.061
0.000 0.000 0.439
0.500 0.500 0.250


[14]
NaAs3N PBE-GGA optimized geometry; volume = 17.8 Å³/atom; size of the total moment = 0.000 μB/cell; calculated total energy = -4.14 eV per atom; energy above the lowest structure with this stoichiometry = 0.0 meV/atom; crystal system = cubic
1.0
4.469 0.000 0.000
0.000 4.469 0.000
0.000 0.000 4.469
As N Na
3 1 1
Direct
0.500 0.000 0.000
0.000 0.000 0.500
0.000 0.500 0.000
0.000 0.000 0.000
0.500 0.500 0.500


[15]
LiTlSe PBE-GGA optimized geometry; volume = 24.4 Å³/atom; size of the total moment = 0.000 μB/cell; calculated total energy = -3.20 eV per atom; energy above the lowest structure with this stoichiometry = 173.3 meV/atom; crystal system = cubic
1.0
-4.449 -0.937 1.177
-2.789 -2.297 -3.001
-1.305 -4.417 0.919
Li Se Tl
1 1 1
Direct
0.750 0.750 0.750
0.000 0.000 0.000
0.500 0.500 0.500


[16]
NaInHg2Pt PBE-GGA optimized geometry; energy of formation from the pure elements = -0.1638 eV/atom; volume = 29.4 Å³/atom; size of the total moment = 0.000 μB/cell; calculated total energy = -2.30 eV per atom; crystal system = tetragonal
1.0
-4.316 3.082 -0.740
-1.669 -1.147 4.957
2.584 4.053 1.808
Hg Pt Na In
2 1 1 1
Direct
0.500 0.000 0.000
0.000 0.500 0.000
0.000 0.000 0.000
0.500 0.500 0.500
0.000 0.000 0.500


[17]
Tb8BiTe4As3 PBE-GGA optimized geometry; volume = 28.3 Å³/atom; size of the total moment = 0.000 μB/cell; calculated total energy = -5.61 eV per atom; crystal system = trigonal
1.0
-4.334 4.097 -6.150
-1.756 -7.583 -3.814
-2.083 1.185 8.225
As Tb Te Bi
3 8 4 1
Direct
0.000 0.500 0.500
0.500 0.500 0.000
0.500 0.500 0.500
0.726 0.726 0.976
0.750 0.274 0.024
0.250 0.726 0.500
0.261 0.282 0.522
0.250 0.726 0.976
0.274 0.274 0.024
0.739 0.718 0.478
0.750 0.274 0.500
0.000 0.000 0.500
0.000 0.000 0.000
0.500 0.000 0.000
0.500 0.000 0.500
0.000 0.500 0.000


[18]
K2DyCd2O4 PBE-GGA optimized geometry; volume = 19.1 Å³/atom; size of the total moment = 0.000 μB/cell; calculated total energy = -4.87 eV per atom; crystal system = monoclinic
1.0
3.479 0.000 0.000
-1.740 6.967 -3.642
0.000 -5.103 9.774
Cd K O Dy
2 2 4 1
Direct
0.704 0.408 0.049
0.296 0.592 0.951
0.133 0.266 0.478
0.867 0.734 0.522
0.246 0.492 0.221
0.457 0.914 0.815
0.543 0.086 0.185
0.754 0.508 0.779
0.000 0.000 0.000


[19]
Al2AgCl PBE-GGA optimized geometry; volume = 21.0 Å³/atom; size of the total moment = 0.000 μB/cell; calculated total energy = -3.14 eV per atom; energy above the lowest structure with this stoichiometry = 137.0 meV/atom; crystal system = orthorhombic
1.0
-0.379 -2.463 1.840
2.097 -0.073 -2.279
6.992 3.643 6.318
Ag Al Cl
1 2 1
Direct
0.500 0.500 0.806
0.000 0.000 0.023
0.500 0.500 0.247
0.000 0.000 0.424


[20]
AcPr3Pd8 PBE-GGA optimized geometry; energy of formation from the pure elements = -0.7191 eV/atom; volume = 20.6 Å³/atom; size of the total moment = 0.000 μB/cell; calculated total energy = -5.72 eV per atom; crystal system = trigonal
1.0
-5.083 0.379 -2.298
0.753 -3.034 4.635
-1.761 7.370 5.111
Pr Pd Ac
3 8 1
Direct
0.000 0.000 0.942
0.667 0.333 0.429
0.667 0.333 0.060
0.501 0.499 0.753
0.333 0.667 0.500
0.166 0.332 0.248
0.166 0.834 0.248
0.501 0.003 0.753
0.668 0.834 0.248
0.333 0.667 0.000
0.997 0.499 0.753
0.000 0.000 0.566